Entry 1:
Here is Na3IrO3 after structural relaxation from the Open Quantum Materials Database. Energies are from PBE-GGA.

Unit cell a=5.5449 b=6.1305 c=6.2072 alpha=61.44 beta=89.07 gamma=88.73
Last column: nearest neighbours and their distance in Å.
Fractional positions:
Na  0.0648  0.0161  0.2453  5 O 2.23-2.40
Na  0.3862  0.2346  0.4865  3 O 2.19-2.24
Na  0.4248  0.7593  0.9697  5 O 2.28-2.53
Na  0.5752  0.2407  0.0303  5 O 2.28-2.53
Na  0.6138  0.7654  0.5135  3 O 2.19-2.24
Na  0.9352  0.9839  0.7547  5 O 2.23-2.40
Ir  0.0883  0.4778  0.7416  3 O 1.91-2.00
Ir  0.9117  0.5222  0.2584  3 O 1.91-2.00
O  0.1980  0.4108  0.1340  1 Ir 2.00, 1 Na 2.19
O  0.2326  0.8085  0.6144  1 Ir 1.97
O  0.2454  0.1626  0.8470  1 Ir 1.91
O  0.7546  0.8374  0.1530  1 Ir 1.91
O  0.7674  0.1915  0.3856  1 Ir 1.97
O  0.8020  0.5892  0.8660  1 Ir 2.00, 1 Na 2.19

Raw total energy ... -4.898 eV per atom

***

Entry 2:
Here is Na2Ir2O5 after structural relaxation from the Open Quantum Materials Database. Energies are from PBE-GGA.

Unit cell a=4.9476 b=4.9670 c=5.8184 alpha=67.79 beta=65.55 gamma=68.32
Last column: nearest neighbours and their distance in Å.
Fractional positions:
Na  0.0000  0.0000  0.0000  4 O 2.19-2.34
Na  0.2781  0.3090  0.1628  3 O 2.28-2.36
Ir  0.4963  0.4885  0.5570  5 O 1.96-2.02
Ir  0.8159  0.8090  0.5759  5 O 1.95-2.01
O  0.0615  0.4602  0.7688  2 Ir 1.96-2.02
O  0.2374  0.8142  0.3461  2 Ir 1.96-2.01
O  0.4249  0.7105  0.8014  2 Ir 1.95-1.96
O  0.6438  0.2027  0.3478  2 Ir 1.96-2.01
O  0.7034  0.1185  0.7640  2 Ir 1.96-2.00, 1 Na 2.19

Energy above the lowest structure with this stoichiometry ... 0.000 eV per formula unit
Raw total energy ... -5.891 eV per atom

***

Entry 3:
Here is Na2Ir2O5 after structural relaxation from the Open Quantum Materials Database. Energies are from PBE-GGA.

Unit cell a=3.2685 b=3.2685 c=10.1616 alpha=90.00 beta=90.00 gamma=90.00
Last column: nearest neighbours and their distance in Å.
Fractional positions:
Na  0.0000  0.0000  0.2267  5 O 2.29-2.30
Na  0.0000  0.0000  0.7733  5 O 2.29-2.30
Ir  0.5000  0.5000  0.0000  4 O 2.31
Ir  0.5000  0.5000  0.5000  8 O 2.01
O  0.0000  0.0000  0.0000  2 Na 2.30, 4 Ir 2.31
O  0.0000  0.5000  0.3843  2 Ir 2.01
O  0.0000  0.5000  0.6157  2 Ir 2.01
O  0.5000  0.0000  0.3843  2 Ir 2.01
O  0.5000  0.0000  0.6157  2 Ir 2.01

Energy above the lowest structure with this stoichiometry ... 5.274 eV per formula unit
Raw total energy ... -5.305 eV per atom

***

Entry 4:
Here is Na2IrO2 after structural relaxation from the Open Quantum Materials Database. Energies are from PBE-GGA.

Unit cell a=5.2173 b=5.2173 c=8.5162 alpha=90.00 beta=90.00 gamma=144.47
Last column: nearest neighbours and their distance in Å.
Fractional positions:
Na  0.1043  0.8957  0.5000  4 O 2.33-2.42
Na  0.3552  0.6448  0.6817  3 O 2.37-2.47
Na  0.6448  0.3552  0.1817  3 O 2.37-2.47
Na  0.8957  0.1043  0.0000  4 O 2.33-2.42
Ir  0.3769  0.6231  0.3408  4 O 2.03
Ir  0.6231  0.3769  0.8408  4 O 2.03
O  0.0201  0.9799  0.7558  2 Ir 2.03
O  0.2244  0.7756  0.9291  2 Ir 2.03
O  0.7756  0.2244  0.4291  2 Ir 2.03
O  0.9799  0.0201  0.2558  2 Ir 2.03

Raw total energy ... -5.206 eV per atom

***

Entry 5:
Here is Na2IrO4 after structural relaxation from the Open Quantum Materials Database. Energies are from PBE-GGA.

Unit cell a=6.4302 b=6.4302 c=6.4302 alpha=60.00 beta=60.00 gamma=60.00
Last column: nearest neighbours and their distance in Å.
Fractional positions:
Na  0.0000  0.0000  0.0000  6 O 2.36
Na  0.0000  0.0000  0.5000  6 O 2.36
Na  0.0000  0.5000  0.0000  6 O 2.36
Na  0.5000  0.0000  0.0000  6 O 2.36
Ir  0.3750  0.3750  0.3750  4 O 1.83
Ir  0.6250  0.6250  0.6250  4 O 1.83
O  0.2587  0.2587  0.2587  1 Ir 1.83
O  0.2587  0.2587  0.7238  1 Ir 1.83
O  0.2587  0.7238  0.2587  1 Ir 1.83
O  0.2762  0.7413  0.7413  1 Ir 1.83
O  0.7238  0.2587  0.2587  1 Ir 1.83
O  0.7413  0.2762  0.7413  1 Ir 1.83
O  0.7413  0.7413  0.2762  1 Ir 1.83
O  0.7413  0.7413  0.7413  1 Ir 1.83

Energy above the lowest structure with this stoichiometry ... 1.170 eV per formula unit
Raw total energy ... -5.434 eV per atom

***

Entry 6:
Here is NaIrO3 after structural relaxation from the Open Quantum Materials Database. Energies are from PBE-GGA.

Unit cell a=5.8900 b=5.8900 c=5.8900 alpha=54.02 beta=54.02 gamma=54.02
Last column: nearest neighbours and their distance in Å.
Fractional positions:
Na  0.1371  0.1371  0.1371  6 O 2.31-2.48
Na  0.8629  0.8629  0.8629  6 O 2.31-2.48
Ir  0.3364  0.3364  0.3364  6 O 1.97
Ir  0.6636  0.6636  0.6636  6 O 1.97
O  0.0649  0.6837  0.4665  2 Ir 1.97
O  0.3163  0.5335  0.9351  2 Ir 1.97
O  0.4665  0.0649  0.6837  2 Ir 1.97
O  0.5335  0.9351  0.3163  2 Ir 1.97
O  0.6837  0.4665  0.0649  2 Ir 1.97
O  0.9351  0.3163  0.5335  2 Ir 1.97

Raw total energy ... -6.057 eV per atom

***

Entry 7:
Here is Na3Ir3O8 after structural relaxation from the Open Quantum Materials Database. Energies are from PBE-GGA.

Unit cell a=9.3916 b=9.3916 c=7.7445 alpha=90.00 beta=90.00 gamma=90.00
Last column: nearest neighbours and their distance in Å.
Fractional positions:
Na  0.0048  0.2491  0.1453  4 O 2.22-2.26
Na  0.1130  0.1130  0.5000  6 O 2.21-2.45
Na  0.2491  0.0048  0.8547  4 O 2.22-2.26
Na  0.2509  0.5048  0.3953  4 O 2.22-2.26
Na  0.3870  0.6130  0.7500  6 O 2.21-2.45
Na  0.4952  0.7491  0.1047  4 O 2.22-2.26
Na  0.5048  0.2509  0.6047  4 O 2.22-2.26
Na  0.6130  0.3870  0.2500  6 O 2.21-2.45
Na  0.7491  0.4952  0.8953  4 O 2.22-2.26
Na  0.7509  0.9952  0.3547  4 O 2.22-2.26
Na  0.8870  0.8870  0.0000  6 O 2.21-2.45
Na  0.9952  0.7509  0.6453  4 O 2.22-2.26
Ir  0.1150  0.3646  0.7441  6 O 1.97-2.08
Ir  0.1330  0.8670  0.2500  6 O 1.98-2.06
Ir  0.1354  0.6150  0.9941  6 O 1.97-2.08
Ir  0.3646  0.1150  0.2559  6 O 1.97-2.08
Ir  0.3670  0.3670  0.0000  6 O 1.98-2.06
Ir  0.3850  0.8646  0.5059  6 O 1.97-2.08
Ir  0.6150  0.1354  0.0059  6 O 1.97-2.08
Ir  0.6330  0.6330  0.5000  6 O 1.98-2.06
Ir  0.6354  0.8850  0.7559  6 O 1.97-2.08
Ir  0.8646  0.3850  0.4941  6 O 1.97-2.08
Ir  0.8670  0.1330  0.7500  6 O 1.98-2.06
Ir  0.8850  0.6354  0.2441  6 O 1.97-2.08
O  0.0738  0.3666  0.4936  2 Ir 1.97-1.98
O  0.0757  0.1587  0.7769  2 Ir 1.99, 1 Na 2.21
O  0.1055  0.6494  0.2520  3 Ir 2.04-2.08, 1 Na 2.22
O  0.1334  0.5738  0.7436  2 Ir 1.97-1.98
O  0.1408  0.8274  0.9996  2 Ir 1.98-2.00
O  0.1494  0.3945  0.0020  3 Ir 2.04-2.08, 1 Na 2.22
O  0.1587  0.0757  0.2231  2 Ir 1.99, 1 Na 2.21
O  0.1726  0.8592  0.5004  2 Ir 1.98-2.00
O  0.3274  0.3592  0.7496  2 Ir 1.98-2.00
O  0.3413  0.5757  0.0269  2 Ir 1.99, 1 Na 2.21
O  0.3506  0.8945  0.2480  3 Ir 2.04-2.08, 1 Na 2.22
O  0.3592  0.3274  0.2504  2 Ir 1.98-2.00
O  0.3666  0.0738  0.5064  2 Ir 1.97-1.98
O  0.3945  0.1494  0.9980  3 Ir 2.04-2.08, 1 Na 2.22
O  0.4243  0.6587  0.4731  2 Ir 1.99, 1 Na 2.21
O  0.4262  0.8666  0.7564  2 Ir 1.97-1.98
O  0.5738  0.1334  0.2564  2 Ir 1.97-1.98
O  0.5757  0.3413  0.9731  2 Ir 1.99, 1 Na 2.21
O  0.6055  0.8506  0.4980  3 Ir 2.04-2.08, 1 Na 2.22
O  0.6334  0.9262  0.0064  2 Ir 1.97-1.98
O  0.6408  0.6726  0.7504  2 Ir 1.98-2.00
O  0.6494  0.1055  0.7480  3 Ir 2.04-2.08, 1 Na 2.22
O  0.6587  0.4243  0.5269  2 Ir 1.99, 1 Na 2.21
O  0.6726  0.6408  0.2496  2 Ir 1.98-2.00
O  0.8274  0.1408  0.0004  2 Ir 1.98-2.00
O  0.8413  0.9243  0.7231  2 Ir 1.99, 1 Na 2.21
O  0.8506  0.6055  0.5020  3 Ir 2.04-2.08, 1 Na 2.22
O  0.8592  0.1726  0.4996  2 Ir 1.98-2.00
O  0.8666  0.4262  0.2436  2 Ir 1.97-1.98
O  0.8945  0.3506  0.7520  3 Ir 2.04-2.08, 1 Na 2.22
O  0.9243  0.8413  0.2769  2 Ir 1.99, 1 Na 2.21
O  0.9262  0.6334  0.9936  2 Ir 1.97-1.98

Energy above the lowest structure with this stoichiometry ... 0.497 eV per formula unit
Raw total energy ... -6.052 eV per atom

***

Entry 8:
Here is NaPr2IrO6 after structural relaxation from the Open Quantum Materials Database. Energies are from PBE-GGA.

Unit cell a=5.5165 b=5.9475 c=9.6069 alpha=90.00 beta=124.20 gamma=90.00
Last column: nearest neighbours and their distance in Å.
Fractional positions:
Na  0.0000  0.0000  0.0000  6 O 2.22-2.29
Na  0.0000  0.5000  0.5000  6 O 2.22-2.29
Pr  0.2259  0.0742  0.7478  5 O 2.35-2.60
Pr  0.2259  0.4258  0.2478  5 O 2.35-2.60
Pr  0.7741  0.5742  0.7522  5 O 2.35-2.60
Pr  0.7741  0.9258  0.2522  5 O 2.35-2.60
Ir  0.5000  0.0000  0.5000  6 O 1.98-1.99
Ir  0.5000  0.5000  0.0000  6 O 1.98-1.99
O  0.1522  0.1773  0.4487  1 Ir 1.99
O  0.1522  0.3227  0.9487  1 Ir 1.99
O  0.2703  0.7162  0.4369  1 Ir 1.99
O  0.2703  0.7838  0.9369  1 Ir 1.99
O  0.3794  0.0419  0.2650  1 Ir 1.98
O  0.3794  0.4581  0.7650  1 Ir 1.98
O  0.6206  0.5419  0.2350  1 Ir 1.98
O  0.6206  0.9581  0.7350  1 Ir 1.98
O  0.7297  0.2162  0.0631  1 Ir 1.99
O  0.7297  0.2838  0.5631  1 Ir 1.99
O  0.8478  0.6773  0.0513  1 Ir 1.99
O  0.8478  0.8227  0.5513  1 Ir 1.99

Raw total energy ... -7.145 eV per atom

***

> Among the records above, which one has the lowest raw total energy?

NaPr2IrO6

***

> Number 1 is which compound?

Na3IrO3